Model i:
# MgBeSb PBE relaxed
data_MgBeSb
_chemical_formula_sum 'Mg2 Be2 Sb2'
_cell_length_a 4.457
_cell_length_b 3.807
_cell_length_c 7.777
_cell_angle_alpha 90.00
_cell_angle_beta 106.09
_cell_angle_gamma 90.00
_space_group_name_H-M_alt 'P 1'
_space_group_IT_number 1
loop_
_space_group_symop_operation_xyz
'x,y,z'
loop_
_atom_site_label
_atom_site_type_symbol
_atom_site_fract_x
_atom_site_fract_y
_atom_site_fract_z
Sb1 Sb 0.946 0.500 0.408
Sb2 Sb 0.711 0.000 0.919
Mg1 Mg 0.405 0.000 0.322
Mg2 Mg 0.147 0.500 0.788
Be1 Be 0.050 0.500 0.105
Be2 Be 0.551 0.500 0.104
# Space-group type   Pm (6)

Model ii:
# MgBeSb PBE relaxed
data_MgBeSb
_chemical_formula_sum 'Mg4 Be4 Sb4'
_cell_length_a 9.133
_cell_length_b 4.110
_cell_length_c 7.058
_cell_angle_alpha 90.00
_cell_angle_beta 105.47
_cell_angle_gamma 90.00
_space_group_name_H-M_alt 'P 1'
_space_group_IT_number 1
loop_
_space_group_symop_operation_xyz
'x,y,z'
loop_
_atom_site_label
_atom_site_type_symbol
_atom_site_fract_x
_atom_site_fract_y
_atom_site_fract_z
Sb1 Sb 0.585 0.000 0.102
Sb2 Sb 0.585 0.500 0.602
Sb3 Sb 0.069 0.000 0.267
Sb4 Sb 0.069 0.500 0.767
Mg1 Mg 0.845 0.000 0.522
Mg2 Mg 0.845 0.500 0.022
Mg3 Mg 0.387 0.000 0.368
Mg4 Mg 0.387 0.500 0.868
Be1 Be 0.969 0.000 0.898
Be2 Be 0.969 0.500 0.398
Be3 Be 0.696 0.000 0.806
Be4 Be 0.696 0.500 0.306
# Space-group type   Cm (8)

Which is most stable? The ranking, best first, is model ii, model i.

Model i:
# MgBeSb PBE relaxed
data_MgBeSb
_chemical_formula_sum 'Mg1 Be1 Sb1'
_cell_length_a 6.368
_cell_length_b 6.132
_cell_length_c 3.317
_cell_angle_alpha 78.57
_cell_angle_beta 70.73
_cell_angle_gamma 30.70
_space_group_name_H-M_alt 'P 1'
_space_group_IT_number 1
loop_
_space_group_symop_operation_xyz
'x,y,z'
loop_
_atom_site_label
_atom_site_type_symbol
_atom_site_fract_x
_atom_site_fract_y
_atom_site_fract_z
Sb1 Sb 0.366 0.366 0.634
Mg1 Mg 0.642 0.642 0.358
Be1 Be 0.992 0.992 0.008
# Space-group type   Fmm2 (42)

Model ii:
# MgBeSb PBE relaxed
data_MgBeSb
_chemical_formula_sum 'Mg1 Be1 Sb1'
_cell_length_a 4.042
_cell_length_b 4.042
_cell_length_c 4.390
_cell_angle_alpha 90.00
_cell_angle_beta 90.00
_cell_angle_gamma 120.00
_space_group_name_H-M_alt 'P 1'
_space_group_IT_number 1
loop_
_space_group_symop_operation_xyz
'x,y,z'
loop_
_atom_site_label
_atom_site_type_symbol
_atom_site_fract_x
_atom_site_fract_y
_atom_site_fract_z
Sb1 Sb 0.333 0.667 0.784
Mg1 Mg 0.667 0.333 0.297
Be1 Be 0.000 0.000 0.919
# Space-group type   P3m1 (156)

Which is most stable? The ranking, best first, is model ii, model i.

Model i:
# MgBeSb PBE relaxed
data_MgBeSb
_chemical_formula_sum 'Mg2 Be2 Sb2'
_cell_length_a 4.045
_cell_length_b 4.509
_cell_length_c 6.956
_cell_angle_alpha 76.80
_cell_angle_beta 84.38
_cell_angle_gamma 84.94
_space_group_name_H-M_alt 'P 1'
_space_group_IT_number 1
loop_
_space_group_symop_operation_xyz
'x,y,z'
loop_
_atom_site_label
_atom_site_type_symbol
_atom_site_fract_x
_atom_site_fract_y
_atom_site_fract_z
Sb1 Sb 0.341 0.836 0.242
Sb2 Sb 0.659 0.164 0.758
Mg1 Mg 0.799 0.282 0.329
Mg2 Mg 0.201 0.718 0.671
Be1 Be 0.902 0.738 0.032
Be2 Be 0.098 0.262 0.968
# Space-group type   P-1 (2)

Model ii:
# MgBeSb PBE relaxed
data_MgBeSb
_chemical_formula_sum 'Mg4 Be4 Sb4'
_cell_length_a 4.020
_cell_length_b 6.219
_cell_length_c 10.025
_cell_angle_alpha 90.00
_cell_angle_beta 90.00
_cell_angle_gamma 90.00
_space_group_name_H-M_alt 'P 1'
_space_group_IT_number 1
loop_
_space_group_symop_operation_xyz
'x,y,z'
loop_
_atom_site_label
_atom_site_type_symbol
_atom_site_fract_x
_atom_site_fract_y
_atom_site_fract_z
Mg1 Mg 0.750 0.645 0.404
Mg2 Mg 0.250 0.145 0.096
Mg3 Mg 0.250 0.355 0.596
Mg4 Mg 0.750 0.855 0.904
Sb1 Sb 0.750 0.367 0.843
Sb2 Sb 0.250 0.867 0.657
Sb3 Sb 0.250 0.633 0.157
Sb4 Sb 0.750 0.133 0.343
Be1 Be 0.750 0.856 0.167
Be2 Be 0.250 0.356 0.333
Be3 Be 0.250 0.144 0.833
Be4 Be 0.750 0.644 0.667
# Space-group type   Pnma (62)

Model iii:
# MgBeSb PBE relaxed
data_MgBeSb
_chemical_formula_sum 'Mg2 Be2 Sb2'
_cell_length_a 4.087
_cell_length_b 4.102
_cell_length_c 9.166
_cell_angle_alpha 90.15
_cell_angle_beta 76.82
_cell_angle_gamma 59.76
_space_group_name_H-M_alt 'P 1'
_space_group_IT_number 1
loop_
_space_group_symop_operation_xyz
'x,y,z'
loop_
_atom_site_label
_atom_site_type_symbol
_atom_site_fract_x
_atom_site_fract_y
_atom_site_fract_z
Sb1 Sb 0.301 0.113 0.189
Sb2 Sb 0.967 0.283 0.672
Mg1 Mg 0.787 0.872 0.448
Mg2 Mg 0.772 0.374 0.987
Be1 Be 0.369 0.582 0.572
Be2 Be 0.557 0.485 0.299
# Space-group type   P1 (1)

Which is most stable? The ranking, best first, is model iii, model i, model ii.

Model i:
# MgBeSb PBE relaxed
data_MgBeSb
_chemical_formula_sum 'Mg2 Be2 Sb2'
_cell_length_a 3.843
_cell_length_b 4.359
_cell_length_c 7.095
_cell_angle_alpha 90.00
_cell_angle_beta 90.00
_cell_angle_gamma 90.00
_space_group_name_H-M_alt 'P 1'
_space_group_IT_number 1
loop_
_space_group_symop_operation_xyz
'x,y,z'
loop_
_atom_site_label
_atom_site_type_symbol
_atom_site_fract_x
_atom_site_fract_y
_atom_site_fract_z
Sb1 Sb 0.500 0.000 0.292
Sb2 Sb 0.000 0.000 0.774
Mg1 Mg 0.000 0.500 0.466
Mg2 Mg 0.500 0.500 0.898
Be1 Be 0.000 0.249 0.109
Be2 Be 0.000 0.751 0.109
# Space-group type   Pmm2 (25)

Model ii:
# MgBeSb PBE relaxed
data_MgBeSb
_chemical_formula_sum 'Mg2 Be2 Sb2'
_cell_length_a 4.928
_cell_length_b 4.066
_cell_length_c 7.023
_cell_angle_alpha 90.00
_cell_angle_beta 118.20
_cell_angle_gamma 90.00
_space_group_name_H-M_alt 'P 1'
_space_group_IT_number 1
loop_
_space_group_symop_operation_xyz
'x,y,z'
loop_
_atom_site_label
_atom_site_type_symbol
_atom_site_fract_x
_atom_site_fract_y
_atom_site_fract_z
Sb1 Sb 0.604 0.000 0.110
Sb2 Sb 0.604 0.500 0.610
Mg1 Mg 0.095 0.000 0.608
Mg2 Mg 0.095 0.500 0.108
Be1 Be 0.456 0.000 0.395
Be2 Be 0.456 0.500 0.895
# Space-group type   Cm (8)

Model iii:
# MgBeSb PBE relaxed
data_MgBeSb
_chemical_formula_sum 'Mg1 Be1 Sb1'
_cell_length_a 4.401
_cell_length_b 4.401
_cell_length_c 4.401
_cell_angle_alpha 60.00
_cell_angle_beta 60.00
_cell_angle_gamma 60.00
_space_group_name_H-M_alt 'P 1'
_space_group_IT_number 1
loop_
_space_group_symop_operation_xyz
'x,y,z'
loop_
_atom_site_label
_atom_site_type_symbol
_atom_site_fract_x
_atom_site_fract_y
_atom_site_fract_z
Sb1 Sb 0.500 0.500 0.500
Mg1 Mg 0.000 0.000 0.000
Be1 Be 0.750 0.750 0.750
# Space-group type   F-43m (216)

Which is most stable? The ranking, best first, is model i, model ii, model iii.

Model i:
# MgBe3Sb PBE relaxed
data_MgBe3Sb
_chemical_formula_sum 'Mg1 Be3 Sb1'
_cell_length_a 4.522
_cell_length_b 4.522
_cell_length_c 4.522
_cell_angle_alpha 90.00
_cell_angle_beta 90.00
_cell_angle_gamma 90.00
_space_group_name_H-M_alt 'P 1'
_space_group_IT_number 1
loop_
_space_group_symop_operation_xyz
'x,y,z'
loop_
_atom_site_label
_atom_site_type_symbol
_atom_site_fract_x
_atom_site_fract_y
_atom_site_fract_z
Sb1 Sb 0.500 0.500 0.500
Mg1 Mg 0.000 0.000 0.000
Be1 Be 0.000 0.500 0.000
Be2 Be 0.000 0.000 0.500
Be3 Be 0.500 0.000 0.000
# Space-group type   Pm-3m (221)

Model ii:
# MgBe3Sb PBE relaxed
data_MgBe3Sb
_chemical_formula_sum 'Mg1 Be3 Sb1'
_cell_length_a 4.731
_cell_length_b 4.731
_cell_length_c 4.731
_cell_angle_alpha 90.00
_cell_angle_beta 90.00
_cell_angle_gamma 90.00
_space_group_name_H-M_alt 'P 1'
_space_group_IT_number 1
loop_
_space_group_symop_operation_xyz
'x,y,z'
loop_
_atom_site_label
_atom_site_type_symbol
_atom_site_fract_x
_atom_site_fract_y
_atom_site_fract_z
Sb1 Sb 0.000 0.000 0.000
Mg1 Mg 0.500 0.500 0.500
Be1 Be 0.000 0.500 0.000
Be2 Be 0.000 0.000 0.500
Be3 Be 0.500 0.000 0.000
# Space-group type   Pm-3m (221)

Which is most stable? The ranking, best first, is model ii, model i.

Model i:
# MgBeSb3 PBE relaxed
data_MgBeSb3
_chemical_formula_sum 'Mg1 Be1 Sb3'
_cell_length_a 5.334
_cell_length_b 5.334
_cell_length_c 5.334
_cell_angle_alpha 90.00
_cell_angle_beta 90.00
_cell_angle_gamma 90.00
_space_group_name_H-M_alt 'P 1'
_space_group_IT_number 1
loop_
_space_group_symop_operation_xyz
'x,y,z'
loop_
_atom_site_label
_atom_site_type_symbol
_atom_site_fract_x
_atom_site_fract_y
_atom_site_fract_z
Sb1 Sb 0.000 0.500 0.000
Sb2 Sb 0.000 0.000 0.500
Sb3 Sb 0.500 0.000 0.000
Mg1 Mg 0.000 0.000 0.000
Be1 Be 0.500 0.500 0.500
# Space-group type   Pm-3m (221)

Model ii:
# MgBeSb3 PBE relaxed
data_MgBeSb3
_chemical_formula_sum 'Mg1 Be1 Sb3'
_cell_length_a 4.986
_cell_length_b 4.986
_cell_length_c 4.986
_cell_angle_alpha 90.00
_cell_angle_beta 90.00
_cell_angle_gamma 90.00
_space_group_name_H-M_alt 'P 1'
_space_group_IT_number 1
loop_
_space_group_symop_operation_xyz
'x,y,z'
loop_
_atom_site_label
_atom_site_type_symbol
_atom_site_fract_x
_atom_site_fract_y
_atom_site_fract_z
Sb1 Sb 0.000 0.500 0.000
Sb2 Sb 0.000 0.000 0.500
Sb3 Sb 0.500 0.000 0.000
Mg1 Mg 0.500 0.500 0.500
Be1 Be 0.000 0.000 0.000
# Space-group type   Pm-3m (221)

Which is most stable? The ranking, best first, is model ii, model i.

Model i:
# MgBeSb2Te PBE relaxed
data_MgBeSb2Te
_chemical_formula_sum 'Mg1 Be1 Sb2 Te1'
_cell_length_a 4.801
_cell_length_b 4.801
_cell_length_c 5.549
_cell_angle_alpha 90.00
_cell_angle_beta 90.00
_cell_angle_gamma 90.00
_space_group_name_H-M_alt 'P 1'
_space_group_IT_number 1
loop_
_space_group_symop_operation_xyz
'x,y,z'
loop_
_atom_site_label
_atom_site_type_symbol
_atom_site_fract_x
_atom_site_fract_y
_atom_site_fract_z
Sb1 Sb 0.000 0.500 0.000
Sb2 Sb 0.500 0.000 0.000
Mg1 Mg 0.500 0.500 0.500
Te1 Te 0.000 0.000 0.500
Be1 Be 0.000 0.000 0.000
# Space-group type   P4/mmm (123)

Model ii:
# MgBeSb2Te PBE relaxed
data_MgBeSb2Te
_chemical_formula_sum 'Mg1 Be1 Sb2 Te1'
_cell_length_a 5.356
_cell_length_b 5.356
_cell_length_c 5.420
_cell_angle_alpha 90.00
_cell_angle_beta 90.00
_cell_angle_gamma 90.00
_space_group_name_H-M_alt 'P 1'
_space_group_IT_number 1
loop_
_space_group_symop_operation_xyz
'x,y,z'
loop_
_atom_site_label
_atom_site_type_symbol
_atom_site_fract_x
_atom_site_fract_y
_atom_site_fract_z
Sb1 Sb 0.000 0.500 0.000
Sb2 Sb 0.500 0.000 0.000
Mg1 Mg 0.000 0.000 0.000
Te1 Te 0.000 0.000 0.500
Be1 Be 0.500 0.500 0.500
# Space-group type   P4/mmm (123)

Which is most stable? The ranking, best first, is model i, model ii.

Model i:
# Mg3ScBe PBE relaxed
data_Mg3ScBe
_chemical_formula_sum 'Mg3 Sc1 Be1'
_cell_length_a 4.721
_cell_length_b 4.721
_cell_length_c 4.721
_cell_angle_alpha 90.00
_cell_angle_beta 90.00
_cell_angle_gamma 90.00
_space_group_name_H-M_alt 'P 1'
_space_group_IT_number 1
loop_
_space_group_symop_operation_xyz
'x,y,z'
loop_
_atom_site_label
_atom_site_type_symbol
_atom_site_fract_x
_atom_site_fract_y
_atom_site_fract_z
Sc1 Sc 0.500 0.500 0.500
Be1 Be 0.000 0.000 0.000
Mg1 Mg 0.000 0.500 0.000
Mg2 Mg 0.000 0.000 0.500
Mg3 Mg 0.500 0.000 0.000
# Space-group type   Pm-3m (221)

Model ii:
# Mg3ScBe PBE relaxed
data_Mg3ScBe
_chemical_formula_sum 'Mg3 Sc1 Be1'
_cell_length_a 5.630
_cell_length_b 5.630
_cell_length_c 5.630
_cell_angle_alpha 90.00
_cell_angle_beta 90.00
_cell_angle_gamma 90.00
_space_group_name_H-M_alt 'P 1'
_space_group_IT_number 1
loop_
_space_group_symop_operation_xyz
'x,y,z'
loop_
_atom_site_label
_atom_site_type_symbol
_atom_site_fract_x
_atom_site_fract_y
_atom_site_fract_z
Sc1 Sc 0.000 0.000 0.000
Be1 Be 0.500 0.500 0.500
Mg1 Mg 0.000 0.500 0.000
Mg2 Mg 0.000 0.000 0.500
Mg3 Mg 0.500 0.000 0.000
# Space-group type   Pm-3m (221)

Which is most stable? The ranking, best first, is model i, model ii.